## Nd3Ge2Rh6 (GGA-PBE)

Data for a geometry-optimized Nd3Ge2Rh6 structure.

Values from the calculation:
Its crystal system is cubic. As for the energy relative to the elements: -0.666 eV/atom.

Lattice parameters (Å, degrees): 8.145 8.145 8.145 109.47 109.47 109.47
Fractional coordinates of all 22 atoms:
Nd 0.284 0.000 0.284
Rh 0.655 0.000 0.345
Ge 0.500 0.000 0.000
Nd 0.716 0.000 0.716
Nd 0.284 0.284 0.000
Rh 0.345 0.689 0.345
Rh 0.655 0.311 0.655
Ge 0.000 0.000 0.500
Rh 0.345 0.655 0.000
Nd 0.716 0.716 0.000
Rh 0.000 0.655 0.345
Ge 0.500 0.500 0.500
Rh 0.655 0.345 0.000
Rh 0.689 0.345 0.345
Rh 0.000 0.345 0.655
Rh 0.345 0.345 0.689
Rh 0.655 0.655 0.311
Ge 0.000 0.500 0.000
Nd 0.000 0.284 0.284
Rh 0.311 0.655 0.655
Nd 0.000 0.716 0.716
Rh 0.345 0.000 0.655

## NdGe3Rh2 (GGA-PBE)

Data for a geometry-optimized NdGe3Rh2 structure.

Values from the calculation:
Its crystal system is orthorhombic. As for the energy relative to the elements: -0.597 eV/atom. The calculation puts the polymorph energy (0 for the lowest one) at 86 meV per atom.

Lattice parameters (Å, degrees): 5.693 6.278 6.278 102.48 90.00 90.00
Fractional coordinates of all 12 atoms:
Ge 0.250 0.877 0.549
Rh 0.000 0.781 0.219
Rh 0.500 0.781 0.219
Ge 0.750 0.123 0.451
Nd 0.750 0.662 0.662
Rh 0.000 0.219 0.781
Nd 0.250 0.338 0.338
Ge 0.750 0.451 0.123
Ge 0.250 0.967 0.967
Ge 0.250 0.549 0.877
Rh 0.500 0.219 0.781
Ge 0.750 0.033 0.033

## Nd3Ge4Rh2 (GGA-PBE)

Data for a geometry-optimized Nd3Ge4Rh2 structure.

Values from the calculation:
Its crystal system is monoclinic. As for the energy relative to the elements: -0.827 eV/atom. The calculation puts the polymorph energy (0 for the lowest one) at 42 meV per atom.

Lattice parameters (Å, degrees): 4.239 6.038 8.505 102.21 90.00 110.55
Fractional coordinates of all 9 atoms:
Nd 0.668 0.336 0.657
Ge 0.948 0.896 0.617
Ge 0.270 0.539 0.925
Nd 0.000 0.000 0.000
Ge 0.052 0.104 0.383
Rh 0.398 0.796 0.728
Ge 0.730 0.461 0.075
Rh 0.602 0.204 0.272
Nd 0.332 0.664 0.343

## NdGe2Rh3 (GGA-PBE)

Data for a geometry-optimized NdGe2Rh3 structure.

Values from the calculation:
Its crystal system is tetragonal. As for the energy relative to the elements: -0.598 eV/atom.

Lattice parameters (Å, degrees): 4.068 4.068 8.007 104.71 104.71 90.00
Fractional coordinates of all 6 atoms:
Nd 0.000 0.000 0.000
Ge 0.339 0.339 0.679
Rh 0.500 0.500 0.000
Ge 0.661 0.661 0.321
Rh 0.750 0.250 0.500
Rh 0.250 0.750 0.500

## NdGe2Rh3 (GGA-PBE)

Data for a geometry-optimized NdGe2Rh3 structure.

Values from the calculation:
Its crystal system is monoclinic. As for the energy relative to the elements: -0.790 eV/atom.

Lattice parameters (Å, degrees): 4.070 8.480 9.907 107.14 90.00 103.89
Fractional coordinates of all 18 atoms:
Ge 0.361 0.722 0.548
Rh 0.379 0.758 0.801
Ge 0.806 0.611 0.873
Rh 0.042 0.084 0.333
Rh 0.500 0.000 0.500
Ge 0.537 0.073 0.777
Nd 0.838 0.676 0.297
Rh 0.216 0.432 0.393
Rh 0.784 0.568 0.607
Rh 0.621 0.242 0.199
Rh 0.678 0.356 0.960
Rh 0.958 0.916 0.667
Ge 0.463 0.927 0.223
Rh 0.322 0.644 0.040
Nd 0.162 0.324 0.703
Ge 0.639 0.278 0.452
Nd 0.000 0.000 0.000
Ge 0.194 0.389 0.127

## Nd4Ge3Rh (GGA-PBE)

Data for a geometry-optimized Nd4Ge3Rh structure.

Values from the calculation:
Its crystal system is orthorhombic. As for the energy relative to the elements: -0.790 eV/atom.

Lattice parameters (Å, degrees): 4.365 4.133 11.058 90.00 90.00 90.00
Fractional coordinates of all 8 atoms:
Rh 0.500 0.500 0.077
Ge 0.000 0.500 0.581
Nd 0.000 0.000 0.135
Ge 0.500 0.000 0.925
Nd 0.000 0.500 0.866
Nd 0.500 0.000 0.641
Nd 0.500 0.500 0.352
Ge 0.000 0.000 0.422

## NdGe3Rh2 (GGA-PBE)

Data for a geometry-optimized NdGe3Rh2 structure.

Values from the calculation:
Its crystal system is monoclinic. As for the energy relative to the elements: -0.683 eV/atom. The calculation puts the polymorph energy (0 for the lowest one) at 0 meV per atom.

Lattice parameters (Å, degrees): 4.134 8.476 9.929 103.00 90.00 104.11
Fractional coordinates of all 18 atoms:
Ge 0.640 0.279 0.179
Ge 0.356 0.713 0.077
Ge 0.226 0.451 0.364
Nd 0.151 0.302 0.698
Ge 0.774 0.549 0.636
Ge 0.948 0.896 0.638
Rh 0.350 0.700 0.563
Rh 0.207 0.414 0.080
Ge 0.644 0.287 0.923
Ge 0.052 0.104 0.362
Ge 0.360 0.721 0.821
Rh 0.793 0.586 0.920
Nd 0.000 0.000 0.000
Rh 0.495 0.990 0.235
Rh 0.650 0.300 0.437
Ge 0.500 0.000 0.500
Rh 0.505 0.010 0.765
Nd 0.849 0.698 0.302

## Nd6GeRh3 (GGA-PBE)

Data for a geometry-optimized Nd6GeRh3 structure.

Values from the calculation:
Its crystal system is monoclinic. As for the energy relative to the elements: -0.583 eV/atom.

Lattice parameters (Å, degrees): 4.220 11.668 12.054 108.41 90.00 90.00
Fractional coordinates of all 20 atoms:
Nd 0.250 0.198 0.237
Nd 0.250 0.270 0.729
Rh 0.250 0.846 0.923
Nd 0.750 0.802 0.763
Nd 0.250 0.877 0.539
Rh 0.750 0.685 0.503
Nd 0.750 0.469 0.610
Ge 0.750 0.048 0.690
Nd 0.750 0.730 0.271
Nd 0.250 0.531 0.390
Ge 0.250 0.952 0.310
Nd 0.250 0.077 0.900
Rh 0.750 0.154 0.077
Rh 0.750 0.441 0.835
Rh 0.250 0.559 0.165
Nd 0.750 0.923 0.100
Nd 0.750 0.394 0.060
Nd 0.750 0.123 0.461
Nd 0.250 0.606 0.940
Rh 0.250 0.315 0.497

## Nd8GeRh2 (GGA-PBE)

Data for a geometry-optimized Nd8GeRh2 structure.

Values from the calculation:
Its crystal system is monoclinic. As for the energy relative to the elements: -0.339 eV/atom.

Lattice parameters (Å, degrees): 6.442 7.757 7.757 113.49 100.76 100.76
Fractional coordinates of all 11 atoms:
Rh 0.488 0.688 0.313
Rh 0.488 0.313 0.688
Nd 0.369 0.922 0.655
Nd 0.584 0.082 0.347
Nd 0.369 0.655 0.922
Nd 0.798 0.649 0.649
Ge 0.182 0.006 0.006
Nd 0.584 0.347 0.082
Nd 0.979 0.216 0.790
Nd 0.179 0.367 0.367
Nd 0.979 0.790 0.216